The following is a PBE calculation of a relaxed structure of TiGaPd5, from Alexandria via LeMat-Bulk.

Values from the calculation:
Polymorph energy (0 for the lowest one): 0.0 meV per atom
VASP energy: -5.6436 eV per atom
Energy of formation: -374 meV/atom

Lattice parameters (Å, degrees): 4.0075 4.0075 7.0744 90.00 90.00 90.00
Space group P4/mmm (No. 123)
Asymmetric unit:
Ti 0.0000 0.0000 0.0000 [1 per cell]
Ga 0.5000 0.5000 0.5000 [1 per cell]
Pd 0.0000 0.0000 0.5000 [1 per cell]
Pd 0.0000 0.5000 0.2263 [4 per cell]